# PBE Ac3YSi7, relaxed
# energy	-126.1	eV for the cell shown
data_Ac3YSi7
_chemical_formula_sum 'Ac6 Y2 Si14'
_cell_length_a 4.418
_cell_length_b 10.025
_cell_length_c 12.009
_cell_angle_alpha 90.00
_cell_angle_beta 90.00
_cell_angle_gamma 102.73
_space_group_name_H-M_alt 'P 1'
_space_group_IT_number 1
_space_group_name_Hall 'P 1'
loop_
_atom_site_label
_atom_site_fract_x
_atom_site_fract_y
_atom_site_fract_z
Ac1 0.106 0.212 0.452
Ac2 0.894 0.788 0.548
Ac3 0.247 0.493 0.750
Ac4 0.753 0.507 0.250
Ac5 0.106 0.212 0.048
Ac6 0.894 0.788 0.952
Y1 0.954 0.908 0.250
Y2 0.046 0.092 0.750
Si1 0.429 0.857 0.750
Si2 0.571 0.143 0.250
Si3 0.488 0.975 0.404
Si4 0.512 0.025 0.596
Si5 0.512 0.025 0.904
Si6 0.488 0.975 0.096
Si7 0.367 0.733 0.349
Si8 0.633 0.267 0.651
Si9 0.269 0.539 0.468
Si10 0.731 0.461 0.532
Si11 0.731 0.461 0.968
Si12 0.269 0.539 0.032
Si13 0.367 0.733 0.151
Si14 0.633 0.267 0.849

# PBE AcYSi2, relaxed
# energy	-95.2	eV for the cell shown
data_AcYSi2
_chemical_formula_sum 'Ac4 Y4 Si8'
_cell_length_a 4.028
_cell_length_b 8.720
_cell_length_c 11.712
_cell_angle_alpha 90.00
_cell_angle_beta 90.00
_cell_angle_gamma 90.00
_space_group_name_H-M_alt 'P 1'
_space_group_IT_number 1
_space_group_name_Hall 'P 1'
loop_
_atom_site_label
_atom_site_fract_x
_atom_site_fract_y
_atom_site_fract_z
Ac1 0.750 0.869 0.131
Ac2 0.250 0.131 0.869
Ac3 0.750 0.369 0.369
Ac4 0.250 0.631 0.631
Y1 0.250 0.499 0.114
Y2 0.250 0.999 0.386
Y3 0.750 0.501 0.886
Y4 0.750 0.001 0.614
Si1 0.750 0.830 0.825
Si2 0.250 0.170 0.175
Si3 0.750 0.330 0.675
Si4 0.250 0.670 0.325
Si5 0.750 0.759 0.435
Si6 0.250 0.741 0.935
Si7 0.750 0.259 0.065
Si8 0.250 0.241 0.565

# PBE AcY4Si4, relaxed
# energy	-112.8	eV for the cell shown
data_AcY4Si4
_chemical_formula_sum 'Ac2 Y8 Si8'
_cell_length_a 5.687
_cell_length_b 9.430
_cell_length_c 9.430
_cell_angle_alpha 90.00
_cell_angle_beta 90.00
_cell_angle_gamma 90.00
_space_group_name_H-M_alt 'P 1'
_space_group_IT_number 1
_space_group_name_Hall 'P 1'
loop_
_atom_site_label
_atom_site_fract_x
_atom_site_fract_y
_atom_site_fract_z
Ac1 0.000 0.000 0.000
Ac2 0.500 0.500 0.500
Y1 0.378 0.359 0.884
Y2 0.878 0.616 0.859
Y3 0.378 0.641 0.116
Y4 0.122 0.141 0.616
Y5 0.622 0.884 0.641
Y6 0.122 0.859 0.384
Y7 0.878 0.384 0.141
Y8 0.622 0.116 0.359
Si1 0.614 0.809 0.329
Si2 0.614 0.191 0.671
Si3 0.114 0.829 0.691
Si4 0.886 0.309 0.829
Si5 0.886 0.691 0.171
Si6 0.386 0.329 0.191
Si7 0.386 0.671 0.809
Si8 0.114 0.171 0.309

# PBE AcYSi4, relaxed
# energy	-141.3	eV for the cell shown
data_AcYSi4
_chemical_formula_sum 'Ac4 Y4 Si16'
_cell_length_a 4.258
_cell_length_b 7.997
_cell_length_c 15.485
_cell_angle_alpha 90.00
_cell_angle_beta 90.00
_cell_angle_gamma 90.00
_space_group_name_H-M_alt 'P 1'
_space_group_IT_number 1
_space_group_name_Hall 'P 1'
loop_
_atom_site_label
_atom_site_fract_x
_atom_site_fract_y
_atom_site_fract_z
Ac1 0.000 0.628 0.349
Ac2 0.000 0.372 0.651
Ac3 0.000 0.128 0.151
Ac4 0.000 0.872 0.849
Y1 0.000 0.635 0.088
Y2 0.000 0.365 0.912
Y3 0.000 0.135 0.412
Y4 0.000 0.865 0.588
Si1 0.500 0.787 0.197
Si2 0.500 0.213 0.803
Si3 0.500 0.287 0.303
Si4 0.500 0.713 0.697
Si5 0.500 0.880 0.047
Si6 0.500 0.120 0.953
Si7 0.500 0.380 0.453
Si8 0.500 0.620 0.547
Si9 0.500 0.873 0.453
Si10 0.500 0.127 0.547
Si11 0.500 0.373 0.047
Si12 0.500 0.627 0.953
Si13 0.500 0.985 0.306
Si14 0.500 0.015 0.694
Si15 0.500 0.485 0.194
Si16 0.500 0.515 0.806

# PBE AcYZn2Si2, relaxed
# energy	-27.5	eV for the cell shown
data_AcYZn2Si2
_chemical_formula_sum 'Ac1 Y1 Zn2 Si2'
_cell_length_a 4.199
_cell_length_b 4.199
_cell_length_c 8.666
_cell_angle_alpha 90.00
_cell_angle_beta 90.00
_cell_angle_gamma 120.00
_space_group_name_H-M_alt 'P 1'
_space_group_IT_number 1
_space_group_name_Hall 'P 1'
loop_
_atom_site_label
_atom_site_fract_x
_atom_site_fract_y
_atom_site_fract_z
Ac1 0.000 0.000 0.000
Y1 0.000 0.000 0.500
Zn1 0.667 0.333 0.270
Zn2 0.333 0.667 0.730
Si1 0.667 0.333 0.726
Si2 0.333 0.667 0.274

# PBE AcZn2Si, relaxed
# energy	-26.7	eV for the cell shown
data_AcZn2Si
_chemical_formula_sum 'Ac2 Zn4 Si2'
_cell_length_a 4.575
_cell_length_b 6.023
_cell_length_c 6.986
_cell_angle_alpha 90.00
_cell_angle_beta 90.00
_cell_angle_gamma 112.32
_space_group_name_H-M_alt 'P 1'
_space_group_IT_number 1
_space_group_name_Hall 'P 1'
loop_
_atom_site_label
_atom_site_fract_x
_atom_site_fract_y
_atom_site_fract_z
Ac1 0.789 0.578 0.500
Ac2 0.554 0.108 0.000
Zn1 0.056 0.112 0.683
Zn2 0.056 0.112 0.317
Zn3 0.855 0.711 0.000
Zn4 0.500 0.999 0.500
Si1 0.260 0.520 0.829
Si2 0.260 0.520 0.171

# PBE Ac3Zn3Si2, relaxed
# energy	-61.3	eV for the cell shown
data_Ac3Zn3Si2
_chemical_formula_sum 'Ac6 Zn6 Si4'
_cell_length_a 4.305
_cell_length_b 6.380
_cell_length_c 16.292
_cell_angle_alpha 90.00
_cell_angle_beta 90.00
_cell_angle_gamma 109.72
_space_group_name_H-M_alt 'P 1'
_space_group_IT_number 1
_space_group_name_Hall 'P 1'
loop_
_atom_site_label
_atom_site_fract_x
_atom_site_fract_y
_atom_site_fract_z
Ac1 0.849 0.697 0.408
Ac2 0.151 0.303 0.908
Ac3 0.849 0.697 0.092
Ac4 0.151 0.303 0.592
Ac5 0.552 0.104 0.250
Ac6 0.448 0.896 0.750
Zn1 0.574 0.149 0.447
Zn2 0.426 0.851 0.947
Zn3 0.574 0.149 0.053
Zn4 0.426 0.851 0.553
Zn5 0.271 0.542 0.250
Zn6 0.729 0.458 0.750
Si1 0.856 0.712 0.884
Si2 0.144 0.288 0.384
Si3 0.856 0.712 0.616
Si4 0.144 0.288 0.116

# PBE Ac2ZnSi3, relaxed
# energy	-58.7	eV for the cell shown
data_Ac2ZnSi3
_chemical_formula_sum 'Ac4 Zn2 Si6'
_cell_length_a 6.282
_cell_length_b 6.282
_cell_length_c 8.645
_cell_angle_alpha 113.89
_cell_angle_beta 113.89
_cell_angle_gamma 83.42
_space_group_name_H-M_alt 'P 1'
_space_group_IT_number 1
_space_group_name_Hall 'P 1'
loop_
_atom_site_label
_atom_site_fract_x
_atom_site_fract_y
_atom_site_fract_z
Ac1 0.250 0.750 0.500
Ac2 0.755 0.755 0.000
Ac3 0.750 0.250 0.500
Ac4 0.245 0.245 0.000
Zn1 0.334 0.334 0.668
Zn2 0.666 0.666 0.332
Si1 0.668 0.167 0.834
Si2 0.833 0.332 0.166
Si3 0.332 0.833 0.166
Si4 0.167 0.668 0.834
Si5 0.833 0.833 0.667
Si6 0.167 0.167 0.333